Version w
Density functional theory data (PBE) for a relaxed structure of ZrTaAlC.

SG: No. 186
calculated density: 8.2 g/cm3

Cell and atoms, written as extended XYZ:
```
8
Lattice="3.194 0.000 0.000 -1.597 2.766 0.000 0.000 0.000 14.299" Properties=species:S:1:pos:R:3 pbc="T T T"
Zr 0.000 1.844 0.000
Zr 1.597 0.922 7.150
Ta 0.000 1.844 4.598
Ta 1.597 0.922 11.747
Al 0.000 1.844 9.523
Al 1.597 0.922 2.373
C 0.000 0.000 5.780
C 0.000 0.000 12.929
```

***

Version x
Density functional theory data (PBE) for a relaxed structure of ZrTaAlC.

SG: No. 164
calculated density: 8.1 g/cm3

Cell and atoms, written as extended XYZ:
```
8
Lattice="3.212 0.000 0.000 -1.606 2.782 0.000 0.000 0.000 14.221" Properties=species:S:1:pos:R:3 pbc="T T T"
Zr 0.000 1.854 1.310
Zr 1.606 0.927 12.911
Ta 0.000 1.854 5.907
Ta 1.606 0.927 8.314
Al 0.000 1.854 10.530
Al 1.606 0.927 3.691
C 0.000 0.000 0.000
C 0.000 0.000 7.111
```

***

What are the relative energies? In eV/atom: version w 0.000; version x 0.036.

***

Version w
Density functional theory data (PBE) for a relaxed structure of Zr3Al3C5.

SG: No. 186
calculated density: 5.1 g/cm3

Cell and atoms, written as extended XYZ:
```
22
Lattice="3.360 0.000 0.000 -1.680 2.910 0.000 0.000 0.000 27.706" Properties=species:S:1:pos:R:3 pbc="T T T"
Zr 0.000 0.000 0.000
Zr 0.000 0.000 13.853
Zr 0.000 1.940 2.647
Zr 0.000 1.940 11.207
Zr 1.680 0.970 16.499
Zr 1.680 0.970 25.060
Al 0.000 0.000 6.907
Al 0.000 0.000 20.760
Al 0.000 1.940 18.757
Al 0.000 1.940 22.795
Al 1.680 0.970 4.904
Al 1.680 0.970 8.942
C 0.000 0.000 4.226
C 0.000 0.000 9.632
C 0.000 0.000 18.079
C 0.000 0.000 23.485
C 0.000 1.940 15.241
C 0.000 1.940 20.775
C 0.000 1.940 26.321
C 1.680 0.970 1.388
C 1.680 0.970 6.922
C 1.680 0.970 12.468
```

***

Version x
Density functional theory data (PBE) for a relaxed structure of Zr3Al3C5.

SG: No. 194
calculated density: 5.0 g/cm3

Cell and atoms, written as extended XYZ:
```
22
Lattice="3.307 0.000 0.000 -1.653 2.864 0.000 0.000 0.000 29.280" Properties=species:S:1:pos:R:3 pbc="T T T"
Zr 0.000 0.000 0.000
Zr 0.000 0.000 14.640
Zr 0.000 1.909 2.659
Zr 0.000 1.909 11.981
Zr 1.653 0.955 17.299
Zr 1.653 0.955 26.621
Al 0.000 0.000 7.320
Al 0.000 0.000 21.960
Al 0.000 1.909 5.252
Al 0.000 1.909 9.388
Al 1.653 0.955 19.892
Al 1.653 0.955 24.028
C 0.000 0.000 4.396
C 0.000 0.000 10.244
C 0.000 0.000 19.036
C 0.000 0.000 24.884
C 0.000 1.909 16.045
C 0.000 1.909 21.960
C 0.000 1.909 27.875
C 1.653 0.955 1.405
C 1.653 0.955 7.320
C 1.653 0.955 13.235
```

***

What are the relative energies? In eV/atom: version w 0.000; version x 0.345.

***

Version w
Density functional theory data (PBE) for a relaxed structure of Al2Cd3.

SG: No. 167
calculated density: 5.8 g/cm3

Cell and atoms, written as extended XYZ:
```
10
Lattice="3.231 1.866 6.246 -3.231 1.866 6.246 0.000 -3.731 6.246" Properties=species:S:1:pos:R:3 pbc="T T T"
Al 0.000 0.000 3.424
Al 0.000 0.000 5.945
Al 0.000 0.000 12.793
Al 0.000 0.000 15.314
Cd -1.922 0.401 7.808
Cd -1.309 -1.464 10.931
Cd 0.614 -1.866 7.808
Cd -0.614 1.866 10.931
Cd 1.309 1.464 7.808
Cd 1.922 -0.401 10.931
```

***

Version x
Density functional theory data (PBE) for a relaxed structure of Al2Cd3.

SG: No. 9
calculated density: 6.0 g/cm3

Cell and atoms, written as extended XYZ:
```
10
Lattice="6.028 -2.973 0.000 6.028 2.973 0.000 -3.053 0.000 6.069" Properties=species:S:1:pos:R:3 pbc="T T T"
Al 4.502 2.398 3.035
Al 2.257 1.564 4.263
Al 3.783 -1.564 1.229
Al 6.028 -2.398 0.000
Cd -0.216 0.518 5.349
Cd 1.311 -0.518 2.314
Cd 5.406 0.675 0.840
Cd 3.880 -0.675 3.875
Cd 6.398 0.635 4.581
Cd 7.924 -0.635 1.546
```

***

What are the relative energies? In eV/atom: version w 0.075; version x 0.000.